# 1
The following is a DFT calculation (PBE-GGA) of a relaxed Ho4Rh2Au crystal.

Properties
The density of states at the Fermi level is 9.2 states/eV per cell. Its size of the total moment is 0.0 μB/f.u. The excess energy over the best structure of this formula in the dataset comes out at 0.0 meV per atom. For the energy of formation, the calculation gives -0.77 eV per atom. Its energy is -83.30 eV/cell.

```
14
Lattice="4.292 -6.276 0.000 4.292 6.276 0.000 -4.286 0.000 6.066" Properties=species:S:1:pos:R:3 pbc="T T T"
Ho 2.149 6.205 3.033
Ho 2.143 3.227 1.536
Ho 1.216 0.894 3.766
Ho 3.359 -0.894 0.733
Ho 5.502 2.253 0.799
Ho 0.000 -3.227 4.569
Ho 3.359 -2.253 3.832
Ho 4.292 -6.205 0.000
Rh 1.698 3.912 4.603
Rh 3.843 0.766 2.994
Rh 1.700 -0.766 6.027
Rh 3.841 -3.912 1.570
Au -1.485 1.568 5.326
Au 0.658 -1.568 2.293
```

# 2
The following is a DFT calculation (PBE-GGA) of a relaxed HoRhAu crystal.

Properties
The density of states at the Fermi level is 2.5 states/eV per cell. Its size of the total moment is 0.0 μB/f.u. The excess energy over the best structure of this formula in the dataset comes out at 106.8 meV per atom. For the energy of formation, the calculation gives -0.59 eV per atom. Its energy is -16.99 eV/cell.

```
3
Lattice="4.571 0.000 0.000 -2.285 3.958 0.000 0.000 0.000 3.392" Properties=species:S:1:pos:R:3 pbc="T T T"
Ho 0.000 0.000 0.000
Rh 0.000 2.639 1.696
Au 2.285 1.319 1.696
```

# 3
The following is a DFT calculation (PBE-GGA) of a relaxed HoRhAu crystal.

Properties
The density of states at the Fermi level is 3.5 states/eV per cell. Its size of the total moment is 0.0 μB/f.u. The excess energy over the best structure of this formula in the dataset comes out at 79.3 meV per atom. For the energy of formation, the calculation gives -0.62 eV per atom. Its energy is -34.15 eV/cell.

```
6
Lattice="6.350 -1.810 0.000 6.350 1.810 0.000 -2.896 0.000 5.329" Properties=species:S:1:pos:R:3 pbc="T T T"
Ho 1.531 0.000 0.824
Ho 8.274 0.000 4.506
Rh 5.659 0.000 1.271
Rh 4.145 0.000 4.058
Au -0.151 0.000 3.363
Au 9.955 0.000 1.966
```

# 4
The following is a DFT calculation (PBE-GGA) of a relaxed Ho6RhAu5 crystal.

Properties
The density of states at the Fermi level is 7.7 states/eV per cell. Its size of the total moment is 0.0 μB/f.u. For the energy of formation, the calculation gives -0.87 eV per atom. Its energy is -61.61 eV/cell.

```
12
Lattice="2.511 -7.550 0.000 2.511 7.550 0.000 0.000 0.000 7.123" Properties=species:S:1:pos:R:3 pbc="T T T"
Ho 0.000 0.000 1.729
Ho 0.000 0.000 5.394
Ho 2.511 2.460 1.755
Ho 2.511 2.460 5.368
Ho 2.511 -2.460 1.755
Ho 2.511 -2.460 5.368
Rh 2.511 0.000 0.000
Au 2.511 5.036 0.000
Au 2.511 5.017 3.561
Au 2.511 0.000 3.561
Au 2.511 -5.017 3.561
Au 2.511 -5.036 0.000
```

# 5
The following is a DFT calculation (PBE-GGA) of a relaxed Ho12RhAu6 crystal.

Properties
The density of states at the Fermi level is 18.8 states/eV per cell. Its size of the total moment is 0.0 μB/f.u. For the energy of formation, the calculation gives -0.52 eV per atom. Its energy is -91.90 eV/cell.

```
19
Lattice="6.292 3.633 4.016 -6.292 3.633 4.016 0.000 -7.266 4.016" Properties=species:S:1:pos:R:3 pbc="T T T"
Ho -4.042 -4.152 6.637
Ho -5.617 1.425 5.410
Ho -1.539 -1.983 4.771
Ho 1.574 -5.577 5.410
Ho -2.487 0.341 7.276
Ho -0.948 2.325 4.771
Ho 0.948 -2.325 7.276
Ho 2.487 -0.341 4.771
Ho -1.574 5.577 6.637
Ho 1.539 1.983 7.276
Ho 5.617 -1.425 6.637
Ho 4.042 4.152 5.410
Rh 0.000 0.000 0.000
Au -3.091 0.530 4.251
Au 1.087 -2.942 4.251
Au -2.004 -2.412 7.796
Au 2.004 2.412 4.251
Au -1.087 2.942 7.796
Au 3.091 -0.530 7.796
```

# 6
The following is a DFT calculation (PBE-GGA) of a relaxed HoSbRhAu crystal.

Properties
The density of states at the Fermi level is 3.0 states/eV per cell. Its size of the total moment is 0.0 μB/f.u. The value obtained for the formation energy from raw total energies is -0.582 eV/atom. Its energy is -21.66 eV/cell.

```
4
Lattice="0.000 3.435 3.435 3.435 0.000 3.435 3.435 3.435 0.000" Properties=species:S:1:pos:R:3 pbc="T T T"
Ho 0.000 0.000 0.000
Sb 3.435 3.435 3.435
Rh 5.152 5.152 5.152
Au 1.717 1.717 1.717
```

# 7
The following is a DFT calculation (PBE-GGA) of a relaxed SmHoRhAu crystal.

Properties
The density of states at the Fermi level is 4.0 states/eV per cell. Its size of the total moment is 0.0 μB/f.u. The excess energy over the best structure of this formula in the dataset comes out at 43.1 meV per atom. For the energy of formation, the calculation gives -0.78 eV per atom. Its energy is -23.06 eV/cell.

```
4
Lattice="0.000 3.548 3.548 3.548 0.000 3.548 3.548 3.548 0.000" Properties=species:S:1:pos:R:3 pbc="T T T"
Sm 0.000 0.000 0.000
Ho 3.548 3.548 3.548
Rh 1.774 1.774 1.774
Au 5.322 5.322 5.322
```

# 8
The following is a DFT calculation (PBE-GGA) of a relaxed SmHoRhAu crystal.

Properties
The density of states at the Fermi level is 2.7 states/eV per cell. Its size of the total moment is 0.0 μB/f.u. The excess energy over the best structure of this formula in the dataset comes out at 0.0 meV per atom. For the energy of formation, the calculation gives -0.83 eV per atom. Its energy is -23.24 eV/cell.

```
4
Lattice="4.599 0.000 0.000 0.000 1.907 5.270 0.000 -1.907 5.270" Properties=species:S:1:pos:R:3 pbc="T T T"
Sm 0.000 0.000 0.000
Ho 2.300 0.000 7.586
Rh 0.000 0.000 2.781
Au 2.300 0.000 4.610
```

# 9
The following is a DFT calculation (PBE-GGA) of a relaxed SrHoRhAu crystal.

Properties
The density of states at the Fermi level is 1.5 states/eV per cell. Its size of the total moment is 0.0 μB/f.u. For the energy of formation, the calculation gives -0.57 eV per atom. Its energy is -19.16 eV/cell.

```
4
Lattice="0.000 3.592 3.592 3.592 0.000 3.592 3.592 3.592 0.000" Properties=species:S:1:pos:R:3 pbc="T T T"
Sr 0.000 0.000 0.000
Ho 3.592 3.592 3.592
Rh 1.796 1.796 1.796
Au 5.387 5.387 5.387
```

# 10
The following is a DFT calculation (PBE-GGA) of a relaxed Ho6Te3Rh2Au crystal.

Properties
The density of states at the Fermi level is 6.4 states/eV per cell. Its size of the total moment is 0.0 μB/f.u. The value obtained for the formation energy from raw total energies is -1.048 eV/atom. Its energy is -67.45 eV/cell.

```
12
Lattice="3.586 -6.198 0.000 3.586 6.198 0.000 -2.378 0.000 7.256" Properties=species:S:1:pos:R:3 pbc="T T T"
Ho -0.065 2.187 5.712
Ho 1.056 0.000 1.506
Ho -0.065 -2.187 5.712
Ho 4.859 2.187 1.544
Ho 3.739 0.000 5.751
Ho 4.859 -2.187 1.544
Te -1.189 0.000 3.628
Te 2.397 1.990 3.628
Te 2.397 -1.990 3.628
Rh 3.586 4.114 0.000
Rh 3.586 -4.114 0.000
Au 3.586 0.000 0.000
```

# 11
The following is a DFT calculation (PBE-GGA) of a relaxed HoTlRhAu crystal.

Properties
The density of states at the Fermi level is 3.6 states/eV per cell. Its size of the total moment is 0.0 μB/f.u. For the energy of formation, the calculation gives -0.44 eV per atom. Its energy is -19.32 eV/cell.

```
4
Lattice="0.000 3.439 3.439 3.439 0.000 3.439 3.439 3.439 0.000" Properties=species:S:1:pos:R:3 pbc="T T T"
Ho 0.000 0.000 0.000
Tl 3.439 3.439 3.439
Rh 1.719 1.719 1.719
Au 5.158 5.158 5.158
```

# 12
The following is a DFT calculation (PBE-GGA) of a relaxed YHoRhAu crystal.

Properties
The density of states at the Fermi level is 4.3 states/eV per cell. Its size of the total moment is 0.0 μB/f.u. The excess energy over the best structure of this formula in the dataset comes out at 0.0 meV per atom. For the energy of formation, the calculation gives -0.86 eV per atom. Its energy is -25.10 eV/cell.

```
4
Lattice="3.534 0.000 0.000 0.000 3.534 0.000 0.000 0.000 6.935" Properties=species:S:1:pos:R:3 pbc="T T T"
Y 0.000 0.000 0.000
Ho 0.000 0.000 3.638
Rh 1.767 1.767 5.252
Au 1.767 1.767 1.844
```

# 13
The following is a DFT calculation (PBE-GGA) of a relaxed YHoRhAu crystal.

Properties
The density of states at the Fermi level is 3.6 states/eV per cell. Its size of the total moment is 0.0 μB/f.u. The excess energy over the best structure of this formula in the dataset comes out at 23.2 meV per atom. For the energy of formation, the calculation gives -0.83 eV per atom. Its energy is -25.01 eV/cell.

```
4
Lattice="0.000 3.516 3.516 3.516 0.000 3.516 3.516 3.516 0.000" Properties=species:S:1:pos:R:3 pbc="T T T"
Y 0.000 0.000 0.000
Ho 3.516 3.516 3.516
Rh 1.758 1.758 1.758
Au 5.274 5.274 5.274
```

# 14
The following is a DFT calculation (PBE-GGA) of a relaxed HoZnRhAu crystal.

Properties
The density of states at the Fermi level is 2.2 states/eV per cell. Its size of the total moment is 0.0 μB/f.u. For the energy of formation, the calculation gives -0.58 eV per atom. Its energy is -18.79 eV/cell.

```
4
Lattice="0.000 3.317 3.317 3.317 0.000 3.317 3.317 3.317 0.000" Properties=species:S:1:pos:R:3 pbc="T T T"
Ho 0.000 0.000 0.000
Zn 3.317 3.317 3.317
Rh 1.659 1.659 1.659
Au 4.976 4.976 4.976
```

# 15
The following is a DFT calculation (PBE-GGA) of a relaxed HoZrRhAu crystal.

Properties
The density of states at the Fermi level is 2.7 states/eV per cell. Its size of the total moment is 0.0 μB/f.u. For the energy of formation, the calculation gives -0.68 eV per atom. Its energy is -26.46 eV/cell.

```
4
Lattice="0.000 3.432 3.432 3.432 0.000 3.432 3.432 3.432 0.000" Properties=species:S:1:pos:R:3 pbc="T T T"
Ho 0.000 0.000 0.000
Zr 3.432 3.432 3.432
Rh 1.716 1.716 1.716
Au 5.147 5.147 5.147
```

# 16
The following is a DFT calculation (PBE-GGA) of a relaxed Ho8RuAu2 crystal.

Properties
The density of states at the Fermi level is 9.0 states/eV per cell. Its size of the total moment is 0.0 μB/f.u. For the energy of formation, the calculation gives -0.43 eV per atom. Its energy is -57.21 eV/cell.

```
11
Lattice="8.631 -2.560 0.000 8.631 2.560 0.000 -2.032 0.000 6.488" Properties=species:S:1:pos:R:3 pbc="T T T"
Ho -0.103 0.000 1.903
Ho 1.802 0.000 5.236
Ho 4.766 0.000 3.463
Ho 6.933 0.000 0.422
Ho 8.298 0.000 6.066
Ho 10.465 0.000 3.025
Ho 13.429 0.000 1.253
Ho 15.334 0.000 4.585
Ru 7.615 0.000 3.244
Au 2.757 0.000 1.388
Au 12.474 0.000 5.100
```

# 17
The following is a DFT calculation (PBE-GGA) of a relaxed Ho2RuAu crystal.

Properties
The density of states at the Fermi level is 3.6 states/eV per cell. Its size of the total moment is 0.0 μB/f.u. For the energy of formation, the calculation gives -0.61 eV per atom. Its energy is -24.14 eV/cell.

```
4
Lattice="-2.458 2.458 3.498 2.458 -2.458 3.498 2.458 2.458 -3.498" Properties=species:S:1:pos:R:3 pbc="T T T"
Ho 2.458 0.000 1.749
Ho 0.000 2.458 1.749
Ru 0.000 0.000 0.000
Au 0.000 0.000 3.498
```

# 18
The following is a DFT calculation (PBE-GGA) of a relaxed Ho8Ru2Au crystal.

Properties
The density of states at the Fermi level is 10.4 states/eV per cell. Its size of the total moment is 0.0 μB/f.u. For the energy of formation, the calculation gives -0.30 eV per atom. Its energy is -61.75 eV/cell.

```
11
Lattice="4.260 -6.322 0.000 4.260 6.322 0.000 -1.609 0.000 5.459" Properties=species:S:1:pos:R:3 pbc="T T T"
Ho 0.000 0.000 0.000
Ho 0.444 1.671 3.280
Ho 2.848 2.925 1.042
Ho 0.444 -1.671 3.280
Ho 3.613 1.662 4.288
Ho 2.848 -2.925 1.042
Ho 3.613 -1.662 4.288
Ho 5.749 0.000 2.113
Ru 2.031 3.931 3.789
Ru 2.031 -3.931 3.789
Au 3.068 0.000 0.429
```

# 19
The following is a DFT calculation (PBE-GGA) of a relaxed Ho4RuAu crystal.

Properties
The density of states at the Fermi level is 10.4 states/eV per cell. Its size of the total moment is 0.0 μB/f.u. The excess energy over the best structure of this formula in the dataset comes out at 97.3 meV per atom. For the energy of formation, the calculation gives -0.40 eV per atom. Its energy is -66.55 eV/cell.

```
12
Lattice="7.057 0.000 0.000 0.000 6.858 0.000 -0.365 0.000 6.865" Properties=species:S:1:pos:R:3 pbc="T T T"
Ho 1.020 1.121 1.247
Ho 0.837 2.308 4.680
Ho 2.190 4.533 1.026
Ho 2.007 5.754 4.459
Ho 4.684 1.104 2.407
Ho 4.501 2.325 5.839
Ho 5.854 4.550 2.186
Ho 5.672 5.737 5.618
Ru -0.183 0.000 3.433
Ru 0.000 3.429 0.000
Au 3.528 0.000 0.000
Au 3.346 3.429 3.433
```

# 20
The following is a DFT calculation (PBE-GGA) of a relaxed Ho8Ru5Au crystal.

Properties
The density of states at the Fermi level is 6.8 states/eV per cell. Its size of the total moment is 0.0 μB/f.u. For the energy of formation, the calculation gives -0.33 eV per atom. Its energy is -90.84 eV/cell.

```
14
Lattice="-4.298 4.298 4.236 4.298 -4.298 4.236 4.298 4.298 -4.236" Properties=species:S:1:pos:R:3 pbc="T T T"
Ho 2.697 -0.607 0.619
Ho 3.730 2.797 -1.635
Ho 5.899 0.607 0.619
Ho 4.905 -1.601 3.617
Ho 0.568 1.501 2.601
Ho 3.690 1.601 3.617
Ho 1.501 -0.568 5.871
Ho 2.797 4.866 1.635
Ru 0.000 0.000 0.000
Ru 2.145 -1.232 3.272
Ru 3.066 2.153 0.964
Ru 2.153 5.530 -0.964
Ru 1.232 2.145 5.200
Au 0.000 4.298 2.118
```

# 21
The following is a DFT calculation (PBE-GGA) of a relaxed Ho5Ru4Au crystal.

Properties
The density of states at the Fermi level is 3.5 states/eV per cell. Its size of the total moment is 0.0 μB/f.u. For the energy of formation, the calculation gives -0.50 eV per atom. Its energy is -68.25 eV/cell.

```
10
Lattice="3.407 0.000 0.000 0.000 3.407 0.000 0.000 0.000 17.318" Properties=species:S:1:pos:R:3 pbc="T T T"
Ho 0.000 0.000 0.000
Ho 0.000 0.000 3.339
Ho 0.000 0.000 6.692
Ho 0.000 0.000 10.625
Ho 0.000 0.000 13.978
Ru 1.703 1.703 1.687
Ru 1.703 1.703 5.117
Ru 1.703 1.703 12.201
Ru 1.703 1.703 15.631
Au 1.703 1.703 8.659
```

# 22
The following is a DFT calculation (PBE-GGA) of a relaxed Ho3RuAu2 crystal.

Properties
The density of states at the Fermi level is 3.3 states/eV per cell. Its size of the total moment is 0.0 μB/f.u. For the energy of formation, the calculation gives -0.74 eV per atom. Its energy is -34.00 eV/cell.

```
6
Lattice="3.491 0.000 0.000 0.000 3.491 0.000 0.000 0.000 10.711" Properties=species:S:1:pos:R:3 pbc="T T T"
Ho 0.000 0.000 0.000
Ho 0.000 0.000 3.704
Ho 0.000 0.000 7.007
Ru 1.745 1.745 5.355
Au 1.745 1.745 1.836
Au 1.745 1.745 8.875
```

# 23
The following is a DFT calculation (PBE-GGA) of a relaxed Ho5Ru2Au crystal.

Properties
The density of states at the Fermi level is 12.1 states/eV per cell. Its size of the total moment is 0.0 μB/f.u. For the energy of formation, the calculation gives -0.52 eV per atom. Its energy is -97.81 eV/cell.

```
16
Lattice="-3.819 3.819 6.554 3.819 -3.819 6.554 3.819 3.819 -6.554" Properties=species:S:1:pos:R:3 pbc="T T T"
Ho 0.000 0.000 0.000
Ho 5.040 1.221 -1.787
Ho 1.221 2.598 -1.787
Ho 5.040 1.221 1.787
Ho 1.221 2.598 1.787
Ho 0.000 0.000 6.554
Ho 2.598 1.221 4.767
Ho -1.221 2.598 4.767
Ho 2.598 1.221 8.341
Ho -1.221 2.598 8.341
Ru 2.740 1.079 0.000
Ru 2.740 -1.079 6.554
Ru 1.079 4.897 0.000
Ru 1.079 2.740 6.554
Au 0.000 0.000 3.277
Au 0.000 0.000 9.831
```

# 24
The following is a DFT calculation (PBE-GGA) of a relaxed Ho7Ru2Au2 crystal.

Properties
The density of states at the Fermi level is 9.4 states/eV per cell. Its size of the total moment is 0.0 μB/f.u. The excess energy over the best structure of this formula in the dataset comes out at 0.0 meV per atom. For the energy of formation, the calculation gives -0.53 eV per atom. Its energy is -62.93 eV/cell.

```
11
Lattice="-1.951 7.564 4.663 1.951 -7.564 4.663 1.951 7.564 -4.663" Properties=species:S:1:pos:R:3 pbc="T T T"
Ho 0.000 0.000 0.000
Ho 1.951 5.713 -0.745
Ho 1.951 2.777 1.144
Ho 0.000 1.851 3.918
Ho 0.000 5.375 2.408
Ho 0.000 9.753 2.408
Ho 0.000 4.788 5.807
Ru 1.951 -3.933 3.944
Ru 1.951 3.933 3.944
Au 1.951 0.000 2.362
Au 0.000 0.000 6.304
```